PBE-GGA GaBr2F, optimized geometry; SG = P1, No. 1; total DFT energy (no corrections) = -27.367 eV/cell; density = 2.9 g cm⁻³; formation energy from raw total energies = -1359.9 meV/atom; distance to the lowest polymorph of the same formula = 0.78 kcal/mol of atoms
1.0
-0.861 -5.807 1.076
6.689 -2.826 -0.058
1.346 -2.048 7.200
Br Ga F
4 2 2
Direct
0.981 0.502 0.551
0.385 0.975 0.462
0.445 0.558 0.004
0.239 0.129 0.977
0.203 0.199 0.660
0.591 0.340 0.796
0.840 0.128 0.809
0.502 0.348 0.585